# 1
# Cd2GaAg

Cd2GaAg after structural relaxation (PBE, the Alexandria database).

Cell lengths 3.611, 3.611, 6.131 Å; angles 90.00, 90.00, 90.00 degrees
Fractional positions:
Cd 0.000 0.000 0.248
Cd 0.000 0.000 0.752
Ga 0.500 0.500 0.500
Ag 0.500 0.500 0.000

Calculated values
DFT formation energy = 2 kJ/mol of atoms
SG = P4/mmm
spin magnetization = 0.00 μB/f.u.
density = 8.36 g/cm3
VASP energy = -7.631 eV/f.u.
DOS(E_F) = 0.93 states/eV/f.u.



# 2
# Cd4Ga2Ag3

Cd4Ga2Ag3 after structural relaxation (PBE, the Alexandria database).

Cell lengths 3.099, 3.099, 21.514 Å; angles 90.00, 90.00, 120.00 degrees
Fractional positions:
Cd 0.000 0.000 0.000
Cd 0.000 0.000 0.219
Cd 0.667 0.333 0.660
Cd 0.667 0.333 0.880
Ga 0.667 0.333 0.331
Ga 0.667 0.333 0.534
Ag 0.000 0.000 0.432
Ag 0.000 0.000 0.770
Ag 0.667 0.333 0.109

Calculated values
DFT formation energy = 1 kJ/mol of atoms
SG = P3m1
spin magnetization = 0.00 μB/f.u.
density = 8.47 g/cm3
energy relative to the lowest polymorph listed for this composition = 0.0 meV per atom
VASP energy = -18.212 eV/f.u.
DOS(E_F) = 2.84 states/eV/f.u.



# 3
# Cd2GaAg3

Cd2GaAg3 after structural relaxation (PBE, the Alexandria database).

Cell lengths 6.525, 6.525, 5.613 Å; angles 90.00, 90.00, 89.67 degrees
Fractional positions:
Cd 0.053 0.606 0.750
Cd 0.394 0.947 0.750
Cd 0.606 0.053 0.250
Cd 0.947 0.394 0.250
Ga 0.270 0.730 0.250
Ga 0.730 0.270 0.750
Ag 0.000 0.000 0.000
Ag 0.000 0.000 0.500
Ag 0.342 0.342 0.000
Ag 0.342 0.342 0.500
Ag 0.658 0.658 0.000
Ag 0.658 0.658 0.500

Calculated values
DFT formation energy = 3 kJ/mol of atoms
SG = Cmcm
spin magnetization = 0.00 μB/f.u.
density = 8.59 g/cm3
energy relative to the lowest polymorph listed for this composition = 46.2 meV per atom
VASP energy = -13.193 eV/f.u.
DOS(E_F) = 1.84 states/eV/f.u.



# 4
# Cd2GaAg8

Cd2GaAg8 after structural relaxation (PBE, the Alexandria database).

Cell lengths 7.030, 7.030, 5.054 Å; angles 104.14, 104.14, 82.21 degrees
Fractional positions:
Cd 0.153 0.153 0.036
Cd 0.847 0.847 0.964
Ga 0.000 0.000 0.500
Ag 0.157 0.671 0.677
Ag 0.272 0.272 0.612
Ag 0.329 0.843 0.323
Ag 0.432 0.432 0.205
Ag 0.568 0.568 0.795
Ag 0.671 0.157 0.677
Ag 0.728 0.728 0.388
Ag 0.843 0.329 0.323

Calculated values
DFT formation energy = 16 kJ/mol of atoms
SG = C2/m
spin magnetization = 0.00 μB/f.u.
density = 8.21 g/cm3
energy relative to the lowest polymorph listed for this composition = 138.6 meV per atom
VASP energy = -25.857 eV/f.u.
DOS(E_F) = 3.40 states/eV/f.u.



# 5
# Cd6GaAg3

Cd6GaAg3 after structural relaxation (PBE, the Alexandria database).

Cell lengths 7.763, 7.015, 10.671 Å; angles 90.00, 132.95, 90.00 degrees
Fractional positions:
Cd 0.027 0.130 0.305
Cd 0.027 0.370 0.805
Cd 0.244 0.167 0.676
Cd 0.244 0.333 0.176
Cd 0.407 0.623 0.847
Cd 0.407 0.877 0.347
Cd 0.593 0.123 0.653
Cd 0.593 0.377 0.153
Cd 0.756 0.667 0.824
Cd 0.756 0.833 0.324
Cd 0.973 0.630 0.195
Cd 0.973 0.870 0.695
Ga 0.000 0.000 0.000
Ga 0.000 0.500 0.500
Ag 0.271 0.703 0.039
Ag 0.271 0.797 0.539
Ag 0.500 0.000 0.000
Ag 0.500 0.500 0.500
Ag 0.729 0.203 0.461
Ag 0.729 0.297 0.961

Calculated values
DFT formation energy = 4 kJ/mol of atoms
SG = P2_1/c
spin magnetization = 0.00 μB/f.u.
density = 8.34 g/cm3
energy relative to the lowest polymorph listed for this composition = 36.4 meV per atom
VASP energy = -16.640 eV/f.u.
DOS(E_F) = 3.33 states/eV/f.u.



# 6
# CdGa4Ag15

CdGa4Ag15 after structural relaxation (PBE, the Alexandria database).

Cell lengths 4.090, 4.090, 21.215 Å; angles 90.00, 90.00, 90.00 degrees
Fractional positions:
Cd 0.000 0.000 0.000
Ga 0.000 0.000 0.201
Ga 0.000 0.000 0.401
Ga 0.000 0.000 0.599
Ga 0.000 0.000 0.799
Ag 0.000 0.500 0.103
Ag 0.000 0.500 0.301
Ag 0.000 0.500 0.500
Ag 0.000 0.500 0.699
Ag 0.000 0.500 0.897
Ag 0.500 0.000 0.103
Ag 0.500 0.000 0.301
Ag 0.500 0.000 0.500
Ag 0.500 0.000 0.699
Ag 0.500 0.000 0.897
Ag 0.500 0.500 0.000
Ag 0.500 0.500 0.203
Ag 0.500 0.500 0.401
Ag 0.500 0.500 0.599
Ag 0.500 0.500 0.797

Calculated values
DFT formation energy = 0 kJ/mol of atoms
SG = P4/mmm
spin magnetization = 0.00 μB/f.u.
density = 9.40 g/cm3
VASP energy = -55.888 eV/f.u.
DOS(E_F) = 5.34 states/eV/f.u.